Below is a relaxed structure of NpGa4Os, with properties calculated at the GGA-PBE level.

- density (g/cm3) = 10.78
- calculated total energy (eV per cell) = -74.9
- density of states at the Fermi level (states/eV/atom) = 1.387
- energy relative to the elements (eV/atom) = -0.20

Structure (CIF):
```
data_NpGa4Os
_cell_length_a 7.6566
_cell_length_b 4.1512
_cell_length_c 6.8472
_cell_angle_alpha 90.00
_cell_angle_beta 90.00
_cell_angle_gamma 90.00
_space_group_name_H-M_alt 'P m m a'
_space_group_IT_number 51
loop_
_space_group_symop_operation_xyz
'x,y,z'
'-x,-y,-z'
'-x+1/2,-y,z'
'x+1/2,y,-z'
'x+1/2,-y,-z'
'-x+1/2,y,z'
'-x,y,-z'
'x,-y,z'
loop_
_atom_site_label
_atom_site_type_symbol
_atom_site_fract_x
_atom_site_fract_y
_atom_site_fract_z
Np1 Np 0.2500 0.0000 0.1290
Ga1 Ga 0.0000 0.0000 0.5000
Ga2 Ga 0.0617 0.5000 0.8225
Ga3 Ga 0.2500 0.5000 0.4493
Os1 Os 0.2500 0.0000 0.7169
```